[1]
The following is a DFT calculation (PBE-GGA) of a relaxed LiGdInPd crystal.

The space group is F-43m (No. 216) and the conventional cell measures 6.847, 6.847 and 6.847 Å, with angles of 90.00, 90.00 and 90.00 degrees. The inequivalent atoms are Li at (0.000, 0.000, 0.000), Gd at (0.250, 0.250, 0.750), In at (0.250, 0.250, 0.250) and Pd at (0.000, 0.000, 0.500).

As for the energy of formation: -0.594 eV/atom.

---

[2]
The following is a DFT calculation (PBE-GGA) of a relaxed ScTi2Pb2 crystal.

The space group is P4/mbm (No. 127) and the conventional cell measures 8.304, 8.304 and 3.215 Å, with angles of 90.00, 90.00 and 90.00 degrees. The inequivalent atoms are Sc at (0.000, 0.000, 0.000), Ti at (0.114, 0.386, 0.000) and Pb at (0.181, 0.681, 0.500).

As for the energy of formation: 0.077 eV/atom. For the offset from the most stable computed form, the calculation gives 91 meV/atom.

---

[3]
The following is a DFT calculation (PBE-GGA) of a relaxed Ag2I2Br7 crystal.

The space group is C2/c (No. 15) and the conventional cell measures 9.684, 12.315 and 16.494 Å, with angles of 90.00, 94.21 and 90.00 degrees. The inequivalent atoms are Ag at (0.124, 0.111, 0.496), I at (0.216, 0.332, 0.228), Br at (0.000, 0.181, 0.750), Br at (0.101, 0.056, 0.095), Br at (0.193, 0.283, 0.402) and Br at (0.228, 0.386, 0.077).

The total DFT energy (no corrections) comes out at -1.97 eV per atom.

---

[4]
The following is a DFT calculation (PBE-GGA) of a relaxed KBaLiH4 crystal.

The space group is Cmcm (No. 63) and the conventional cell measures 5.649, 13.984 and 5.612 Å, with angles of 90.00, 90.00 and 90.00 degrees. The inequivalent atoms are K at (0.000, 0.107, 0.250), Ba at (0.000, 0.378, 0.250), Li at (0.000, 0.242, 0.750), H at (0.000, 0.095, 0.750), H at (0.000, 0.424, 0.750) and H at (0.250, 0.250, 0.000).

The total DFT energy (no corrections) comes out at -3.03 eV per atom.

---

[5]
The following is a DFT calculation (PBE-GGA) of a relaxed FePt2Cl crystal.

The space group is I-42d (No. 122) and the conventional cell measures 7.833, 7.833 and 4.581 Å, with angles of 90.00, 90.00 and 90.00 degrees. The inequivalent atoms are Fe at (0.000, 0.000, 0.000), Pt at (0.176, 0.250, 0.125) and Cl at (0.000, 0.000, 0.500).

For the offset from the most stable computed form, the calculation gives 665 meV/atom.

---

[6]
The following is a DFT calculation (PBE-GGA) of a relaxed Ti3HgBi crystal.

The space group is Pm-3m (No. 221) and the conventional cell measures 5.137, 5.137 and 5.137 Å, with angles of 90.00, 90.00 and 90.00 degrees. The inequivalent atoms are Ti at (0.000, 0.000, 0.500), Hg at (0.500, 0.500, 0.500) and Bi at (0.000, 0.000, 0.000).

As for the energy of formation: 1.052 eV/atom. For the offset from the most stable computed form, the calculation gives 251 meV/atom.

---

[7]
The following is a DFT calculation (PBE-GGA) of a relaxed Cs3Ca2I5Cl2 crystal.

The space group is I4/mmm (No. 139) and the conventional cell measures 6.259, 6.259 and 29.356 Å, with angles of 90.00, 90.00 and 90.00 degrees. The inequivalent atoms are Cs at (0.000, 0.000, 0.000), Cs at (0.000, 0.000, 0.187), Ca at (0.000, 0.000, 0.392), I at (0.000, 0.000, 0.500), I at (0.000, 0.500, 0.102) and Cl at (0.000, 0.000, 0.302).

The total DFT energy (no corrections) comes out at -3.24 eV per atom.

---

[8]
The following is a DFT calculation (PBE-GGA) of a relaxed TiBe2CrRh crystal.

The space group is P4/mmm (No. 123) and the conventional cell measures 4.272, 4.272 and 3.939 Å, with angles of 90.00, 90.00 and 90.00 degrees. The inequivalent atoms are Ti at (0.000, 0.000, 0.000), Be at (0.000, 0.500, 0.000), Cr at (0.000, 0.000, 0.500) and Rh at (0.500, 0.500, 0.500).

As for the energy of formation: 1.374 eV/atom.

---

[9]
The following is a DFT calculation (PBE-GGA) of a relaxed PrThPd crystal.

The space group is P-1 (No. 2) and the conventional cell measures 3.699, 3.701 and 12.277 Å, with angles of 89.96, 89.88 and 89.94 degrees. The inequivalent atoms are Pr at (0.249, 0.250, 0.114), Th at (0.251, 0.250, 0.404) and Pd at (0.248, 0.250, 0.716).

As for the energy of formation: -0.442 eV/atom. For the offset from the most stable computed form, the calculation gives 0 meV/atom.

---

[10]
The following is a DFT calculation (PBE-GGA) of a relaxed AgIrOs2 crystal.

The space group is C2/m (No. 12) and the conventional cell measures 9.228, 2.744 and 4.832 Å, with angles of 90.00, 99.76 and 90.00 degrees. The inequivalent atoms are Ag at (0.000, 0.000, 0.000), Ir at (0.000, 0.500, 0.500) and Os at (0.240, 0.000, 0.735).

As for the energy of formation: 0.504 eV/atom. For the offset from the most stable computed form, the calculation gives 229 meV/atom.

---

[11]
The following is a DFT calculation (PBE-GGA) of a relaxed RbCd2Pb4 crystal.

The space group is Cmmm (No. 65) and the conventional cell measures 5.383, 17.086 and 5.186 Å, with angles of 90.00, 90.00 and 90.00 degrees. The inequivalent atoms are Rb at (0.000, 0.000, 0.000), Cd at (0.000, 0.416, 0.500), Pb at (0.000, 0.186, 0.500) and Pb at (0.000, 0.310, 0.000).

As for the energy of formation: -0.031 eV/atom.

---

[12]
The following is a DFT calculation (PBE-GGA) of a relaxed IrWCl2 crystal.

The space group is Pmmm (No. 47) and the conventional cell measures 2.836, 4.330 and 5.271 Å, with angles of 90.00, 90.00 and 90.00 degrees. The inequivalent atoms are Ir at (0.000, 0.000, 0.000), W at (0.500, 0.000, 0.500), Cl at (0.000, 0.500, 0.500) and Cl at (0.500, 0.500, 0.000).

For the offset from the most stable computed form, the calculation gives 1040 meV/atom.

---

no.,DOS at the Fermi energy (states/eV/f.u.)
1,3.795
2,5.300
3,6.887
4,0.000
5,11.091
6,6.870
7,0.000
8,4.577
9,3.518
10,4.780
11,3.136
12,3.953